[1]
Tb2ErIn3Pd3: optimized geometry, PBE-GGA.

Geometry as POSCAR:
```
Tb2ErIn3Pd3
1.0
3.8542 0.0000 0.0000
0.0000 6.6478 3.8529
0.0000 -6.6478 3.8529
Tb Er In Pd
2 1 3 3
direct
0.0000 0.2044 0.7956 Tb
0.0000 0.7956 0.2044 Tb
0.0000 0.3878 0.3878 Er
0.5000 0.0554 0.0554 In
0.5000 0.5370 0.7951 In
0.5000 0.7951 0.5370 In
0.0000 0.7950 0.7950 Pd
0.5000 0.1313 0.4620 Pd
0.5000 0.4620 0.1313 Pd
```

Calculated values
- Spin magnetization: 0.03 μB/f.u.
- Energy: -4.9934 eV per atom

[2]
Er2Tm3Mg3: optimized geometry, PBE-GGA.

Geometry as POSCAR:
```
Er2Tm3Mg3
1.0
5.4863 0.0000 0.0000
0.0000 3.4922 5.8405
0.0000 -3.4922 5.8405
Er Tm Mg
2 3 3
direct
0.0000 0.0000 0.0000 Er
0.5000 0.3339 0.3339 Er
0.0000 0.5106 0.5106 Tm
0.5000 0.3363 0.8341 Tm
0.5000 0.8341 0.3363 Tm
0.0000 0.0115 0.4917 Mg
0.0000 0.4917 0.0115 Mg
0.5000 0.8345 0.8345 Mg
```

Calculated values
- E above lowest polymorph: 0.030 eV per atom
- Spin magnetization: 0.04 μB/f.u.

[3]
CdHgI4: optimized geometry, PBE-GGA.

Geometry as POSCAR:
```
CdHgI4
1.0
4.4683 0.0000 0.0000
0.0000 4.4683 0.0000
0.0000 0.0000 13.1419
Cd Hg I
1 1 4
direct
0.0000 0.0000 0.0000 Cd
0.5000 0.5000 0.5000 Hg
0.0000 0.5000 0.1333 I
0.0000 0.5000 0.6356 I
0.5000 0.0000 0.3644 I
0.5000 0.0000 0.8667 I
```

Calculated values
- Energy: -1.6769 eV per atom

[4]
La2PrZn2Si4Pd2: optimized geometry, PBE-GGA.

Geometry as POSCAR:
```
La2PrZn2Si4Pd2
1.0
-2.1043 2.1577 12.3389
2.1043 -2.1577 12.3389
2.1043 2.1577 -12.3389
La Pr Zn Si Pd
2 1 2 4 2
direct
0.1476 0.1476 0.0000 La
0.8524 0.8524 0.0000 La
0.0000 0.5000 0.5000 Pr
0.4030 0.4030 0.0000 Zn
0.5970 0.5970 0.0000 Zn
0.3031 0.3031 0.0000 Si
0.4521 0.9521 0.5000 Si
0.5479 0.0479 0.5000 Si
0.6969 0.6969 0.0000 Si
0.2497 0.7497 0.5000 Pd
0.7503 0.2503 0.5000 Pd
```

Calculated values
- E above lowest polymorph: 0.016 eV per atom
- Spin magnetization: 0.00 μB/f.u.

[5]
TbDySi2Os: optimized geometry, PBE-GGA.

Geometry as POSCAR:
```
TbDySi2Os
1.0
5.3650 -2.1132 0.0000
5.3650 2.1132 0.0000
-4.8926 0.0000 8.7693
Tb Dy Si Os
2 2 4 2
direct
0.0087 0.0087 0.1789 Tb
0.9913 0.9913 0.8211 Tb
0.1854 0.1854 0.6108 Dy
0.8146 0.8146 0.3892 Dy
0.3543 0.3543 0.9393 Si
0.4984 0.4984 0.6251 Si
0.5016 0.5016 0.3749 Si
0.6457 0.6457 0.0607 Si
0.2707 0.2707 0.1265 Os
0.7293 0.7293 0.8735 Os
```

Calculated values
- E above lowest polymorph: 0.004 eV per atom
- Spin magnetization: 0.10 μB/f.u.

[6]
YErPbC: optimized geometry, PBE-GGA.

Geometry as POSCAR:
```
YErPbC
1.0
3.6268 0.0000 0.0000
-1.8134 3.1409 0.0000
0.0000 0.0000 16.0228
Y Er Pb C
2 2 2 2
direct
0.0000 0.0000 0.1670 Y
0.0000 0.0000 0.8330 Y
0.6667 0.3333 0.3321 Er
0.6667 0.3333 0.6679 Er
0.0000 0.0000 0.5000 Pb
0.6667 0.3333 0.0000 Pb
0.3333 0.6667 0.2517 C
0.3333 0.6667 0.7483 C
```

Calculated values
- Spin magnetization: 0.01 μB/f.u.
- Energy: -6.5046 eV per atom

Question: What is the formula in the fourth record?
Answer: La2PrZn2Si4Pd2